# Pr6Te8Pb

Pr6Te8Pb after structural relaxation (PBE, Alexandria via LeMat-Bulk).

Formation energy from raw total energies = -1319.4 meV per atom
DOS at the Fermi energy = 0.304 states/eV per atom

Unit cell a=12.815 b=12.815 c=12.815 alpha=90.00 beta=90.00 gamma=90.00
Space group Fm-3m (No. 225)
Asymmetric unit:
Pr  0.000  0.250  0.250 (multiplicity 24)
Te  0.000  0.000  0.245 (multiplicity 24)
Te  0.250  0.250  0.250 (multiplicity 8)
Pb  0.000  0.000  0.500 (multiplicity 4)

# Pr4Te5Pb

Pr4Te5Pb after structural relaxation (PBE, Alexandria via LeMat-Bulk).

Formation energy from raw total energies = -1211.1 meV per atom
DOS at the Fermi energy = 0.392 states/eV per atom

Unit cell a=4.5592 b=4.5592 c=56.0015 alpha=90.00 beta=90.00 gamma=120.00
Space group R-3m (No. 166, hexagonal axes)
Asymmetric unit:
Pr  0.0000  0.0000  0.0959 (multiplicity 6)
Pr  0.0000  0.0000  0.2993 (multiplicity 6)
Te  0.0000  0.0000  0.0000 (multiplicity 3)
Te  0.0000  0.0000  0.2014 (multiplicity 6)
Te  0.0000  0.0000  0.3986 (multiplicity 6)
Pb  0.0000  0.0000  0.5000 (multiplicity 3)

# Pr8TlTe4Pb3

Pr8TlTe4Pb3 after structural relaxation (PBE, Alexandria via LeMat-Bulk).

Formation energy from raw total energies = -993.1 meV per atom
DOS at the Fermi energy = 0.487 states/eV per atom

Unit cell a=9.0821 b=9.0821 c=22.7604 alpha=90.00 beta=90.00 gamma=120.00
Space group R-3m (No. 166, hexagonal axes)
Asymmetric unit:
Pr  0.0000  0.0000  0.2481 (multiplicity 6)
Pr  0.0009  0.5005  0.7505 (multiplicity 18)
Tl  0.0000  0.0000  0.5000 (multiplicity 3)
Te  0.0000  0.0000  0.0000 (multiplicity 3)
Te  0.0000  0.5000  0.0000 (multiplicity 9)
Pb  0.0000  0.5000  0.5000 (multiplicity 9)

# Pr2Tl3Te6Pb

Pr2Tl3Te6Pb after structural relaxation (PBE, Alexandria via LeMat-Bulk).

Formation energy from raw total energies = -799.0 meV per atom
DOS at the Fermi energy = 0.635 states/eV per atom

Unit cell a=8.017 b=13.894 c=8.359 alpha=90.00 beta=108.61 gamma=90.00
Space group C2/m (No. 12)
Asymmetric unit:
Pr  0.000  0.167  0.000 (multiplicity 4)
Tl  0.000  0.000  0.500 (multiplicity 2)
Tl  0.000  0.335  0.500 (multiplicity 4)
Te  0.234  0.000  0.227 (multiplicity 4)
Te  0.248  0.329  0.230 (multiplicity 8)
Pb  0.000  0.500  0.000 (multiplicity 2)

# PrTmTePb

PrTmTePb after structural relaxation (PBE, Alexandria via LeMat-Bulk).

Formation energy from raw total energies = -935.8 meV per atom
DOS at the Fermi energy = 0.320 states/eV per atom

Unit cell a=4.4838 b=4.4838 c=21.9225 alpha=90.00 beta=90.00 gamma=120.00
Space group R3m (No. 160, hexagonal axes)
Asymmetric unit:
Pr  0.0000  0.0000  0.0000 (multiplicity 3)
Tm  0.0000  0.0000  0.4939 (multiplicity 3)
Te  0.0000  0.0000  0.2417 (multiplicity 3)
Pb  0.0000  0.0000  0.7515 (multiplicity 3)

# PrYTePb

PrYTePb after structural relaxation (PBE, Alexandria via LeMat-Bulk).

Formation energy from raw total energies = -997.3 meV per atom
DOS at the Fermi energy = 0.335 states/eV per atom

Unit cell a=4.5058 b=4.5058 c=22.0883 alpha=90.00 beta=90.00 gamma=120.00
Space group R3m (No. 160, hexagonal axes)
Asymmetric unit:
Pr  0.0000  0.0000  0.0000 (multiplicity 3)
Y  0.0000  0.0000  0.4948 (multiplicity 3)
Te  0.0000  0.0000  0.2435 (multiplicity 3)
Pb  0.0000  0.0000  0.7505 (multiplicity 3)

# Pr3ThPb5

Pr3ThPb5 after structural relaxation (PBE, Alexandria via LeMat-Bulk).

DOS at the Fermi energy = 0.866 states/eV per atom
Energy of formation = -42.8 kJ per mole of atoms

Unit cell a=9.8590 b=9.8590 c=6.6542 alpha=90.00 beta=90.00 gamma=120.00
Space group P6_3/mcm (No. 193)
Asymmetric unit:
Pr  0.0000  0.3769  0.2500 (multiplicity 6)
Th  0.0000  0.0000  0.0000 (multiplicity 2)
Pb  0.0000  0.2935  0.7500 (multiplicity 6)
Pb  0.3333  0.6667  0.0000 (multiplicity 4)

# Pr5ThPb4

Pr5ThPb4 after structural relaxation (PBE, Alexandria via LeMat-Bulk).

DOS at the Fermi energy = 0.698 states/eV per atom
Energy of formation = -32.0 kJ per mole of atoms

Unit cell a=16.991 b=5.646 c=7.289 alpha=90.00 beta=90.86 gamma=90.00
Space group C2/m (No. 12)
Asymmetric unit:
Pr  0.000  0.000  0.000 (multiplicity 2)
Pr  0.166  0.500  0.991 (multiplicity 4)
Pr  0.167  0.500  0.507 (multiplicity 4)
Th  0.000  0.000  0.500 (multiplicity 2)
Pb  0.008  0.500  0.250 (multiplicity 4)
Pb  0.175  0.000  0.749 (multiplicity 4)

# PrTh2Pb9

PrTh2Pb9 after structural relaxation (PBE, Alexandria via LeMat-Bulk).

DOS at the Fermi energy = 0.888 states/eV per atom
Energy of formation = -26.8 kJ per mole of atoms

Unit cell a=4.918 b=4.918 c=14.785 alpha=90.00 beta=90.00 gamma=90.00
Space group P4/mmm (No. 123)
Asymmetric unit:
Pr  0.000  0.000  0.000 (multiplicity 1)
Th  0.000  0.000  0.337 (multiplicity 2)
Pb  0.000  0.500  0.169 (multiplicity 4)
Pb  0.000  0.500  0.500 (multiplicity 2)
Pb  0.500  0.500  0.000 (multiplicity 1)
Pb  0.500  0.500  0.334 (multiplicity 2)

# Pr2ThPb

Pr2ThPb after structural relaxation (PBE, Alexandria via LeMat-Bulk).

DOS at the Fermi energy = 1.641 states/eV per atom
Energy of formation = -18.7 kJ per mole of atoms

Unit cell a=4.141 b=4.141 c=7.398 alpha=90.00 beta=90.00 gamma=90.00
Space group P4/mmm (No. 123)
Asymmetric unit:
Pr  0.000  0.000  0.224 (multiplicity 2)
Th  0.500  0.500  0.500 (multiplicity 1)
Pb  0.500  0.500  0.000 (multiplicity 1)

# Pr2ThPb

Pr2ThPb after structural relaxation (PBE, Alexandria via LeMat-Bulk).

DOS at the Fermi energy = 0.914 states/eV per atom
Energy of formation = 4.9 kJ per mole of atoms

Unit cell a=3.6324 b=3.6324 c=36.9066 alpha=90.00 beta=90.00 gamma=120.00
Space group R-3m (No. 166, hexagonal axes)
Asymmetric unit:
Pr  0.0000  0.0000  0.0893 (multiplicity 6)
Th  0.0000  0.0000  0.5000 (multiplicity 3)
Pb  0.0000  0.0000  0.0000 (multiplicity 3)

# Pr2ThPb

Pr2ThPb after structural relaxation (PBE, Alexandria via LeMat-Bulk).

DOS at the Fermi energy = 0.760 states/eV per atom
Energy of formation = -25.3 kJ per mole of atoms

Unit cell a=5.068 b=5.068 c=4.896 alpha=90.00 beta=90.00 gamma=90.00
Space group P4/mmm (No. 123)
Asymmetric unit:
Pr  0.000  0.500  0.000 (multiplicity 2)
Th  0.000  0.000  0.500 (multiplicity 1)
Pb  0.500  0.500  0.500 (multiplicity 1)

# Pr2ThPb9

Pr2ThPb9 after structural relaxation (PBE, Alexandria via LeMat-Bulk).

DOS at the Fermi energy = 0.629 states/eV per atom
Energy of formation = -31.9 kJ per mole of atoms

Unit cell a=4.928 b=4.928 c=14.837 alpha=90.00 beta=90.00 gamma=90.00
Space group P4/mmm (No. 123)
Asymmetric unit:
Pr  0.000  0.000  0.171 (multiplicity 2)
Th  0.000  0.000  0.500 (multiplicity 1)
Pb  0.000  0.500  0.000 (multiplicity 2)
Pb  0.000  0.500  0.335 (multiplicity 4)
Pb  0.500  0.500  0.167 (multiplicity 2)
Pb  0.500  0.500  0.500 (multiplicity 1)

# PrThTlPb

PrThTlPb after structural relaxation (PBE, Alexandria via LeMat-Bulk).

DOS at the Fermi energy = 1.406 states/eV per atom
Energy of formation = -23.1 kJ per mole of atoms

Unit cell a=7.873 b=7.873 c=7.873 alpha=90.00 beta=90.00 gamma=90.00
Space group F-43m (No. 216)
Asymmetric unit:
Pr  0.000  0.000  0.000 (multiplicity 4)
Th  0.000  0.000  0.500 (multiplicity 4)
Tl  0.250  0.250  0.250 (multiplicity 4)
Pb  0.250  0.250  0.750 (multiplicity 4)

# PrTiPb

PrTiPb after structural relaxation (PBE, Alexandria via LeMat-Bulk).

DOS at the Fermi energy = 1.054 states/eV per atom
Energy of formation = -25.6 kJ per mole of atoms

Unit cell a=4.396 b=4.396 c=8.404 alpha=90.00 beta=90.00 gamma=90.00
Space group P4/nmm (No. 129, origin choice 2)
Asymmetric unit:
Pr  0.250  0.250  0.155 (multiplicity 2)
Ti  0.250  0.750  0.500 (multiplicity 2)
Pb  0.250  0.250  0.738 (multiplicity 2)

# Pr5Tl2Pb2

Pr5Tl2Pb2 after structural relaxation (PBE, Alexandria via LeMat-Bulk).

DOS at the Fermi energy = 0.873 states/eV per atom
Energy of formation = -43.7 kJ per mole of atoms

Unit cell a=16.475 b=8.560 c=8.471 alpha=90.00 beta=90.00 gamma=90.00
Space group Cmce (No. 64)
Asymmetric unit:
Pr  0.000  0.000  0.000 (multiplicity 4)
Pr  0.140  0.177  0.329 (multiplicity 16)
Tl  0.000  0.126  0.626 (multiplicity 8)
Pb  0.207  0.000  0.000 (multiplicity 8)

# Pr12Tl6Pb

Pr12Tl6Pb after structural relaxation (PBE, Alexandria via LeMat-Bulk).

DOS at the Fermi energy = 1.116 states/eV per atom
Energy of formation = -12.8 kJ per mole of atoms

Unit cell a=14.8793 b=14.8793 c=9.9634 alpha=90.00 beta=90.00 gamma=120.00
Space group R-3 (No. 148, hexagonal axes)
Asymmetric unit:
Pr  0.0532  0.2597  0.4159 (multiplicity 18)
Pr  0.0538  0.1901  0.7617 (multiplicity 18)
Tl  0.0662  0.2409  0.0771 (multiplicity 18)
Pb  0.0000  0.0000  0.5000 (multiplicity 3)

# Pr3TlPb

Pr3TlPb after structural relaxation (PBE, Alexandria via LeMat-Bulk).

DOS at the Fermi energy = 0.976 states/eV per atom
Energy of formation = -31.9 kJ per mole of atoms

Unit cell a=12.288 b=11.846 c=9.325 alpha=90.00 beta=90.00 gamma=90.00
Space group C2/c (No. 15)
Asymmetric unit:
Pr  0.090  0.108  0.080 (multiplicity 8)
Pr  0.090  0.392  0.920 (multiplicity 8)
Pr  0.250  0.178  0.670 (multiplicity 8)
Tl  0.250  0.048  0.363 (multiplicity 8)
Pb  0.000  0.144  0.750 (multiplicity 4)
Pb  0.000  0.356  0.250 (multiplicity 4)

# Pr5Tl4Pb

Pr5Tl4Pb after structural relaxation (PBE, Alexandria via LeMat-Bulk).

DOS at the Fermi energy = 0.665 states/eV per atom
Energy of formation = -40.3 kJ per mole of atoms

Unit cell a=3.785 b=3.785 c=21.298 alpha=90.00 beta=90.00 gamma=90.00
Space group P4/mmm (No. 123)
Asymmetric unit:
Pr  0.000  0.000  0.000 (multiplicity 1)
Pr  0.000  0.000  0.199 (multiplicity 2)
Pr  0.000  0.000  0.399 (multiplicity 2)
Tl  0.500  0.500  0.099 (multiplicity 2)
Tl  0.500  0.500  0.297 (multiplicity 2)
Pb  0.500  0.500  0.500 (multiplicity 1)

# Pr3Tl2Pb

Pr3Tl2Pb after structural relaxation (PBE, Alexandria via LeMat-Bulk).

DOS at the Fermi energy = 0.633 states/eV per atom
Energy of formation = -39.7 kJ per mole of atoms

Unit cell a=16.900 b=6.697 c=6.705 alpha=90.00 beta=102.36 gamma=90.00
Space group C2/c (No. 15)
Asymmetric unit:
Pr  0.000  0.136  0.250 (multiplicity 4)
Pr  0.171  0.381  0.598 (multiplicity 8)
Tl  0.165  0.119  0.058 (multiplicity 8)
Pb  0.000  0.363  0.750 (multiplicity 4)

# Pr8Tl5Pb

Pr8Tl5Pb after structural relaxation (PBE, Alexandria via LeMat-Bulk).

DOS at the Fermi energy = 1.160 states/eV per atom
Energy of formation = -32.4 kJ per mole of atoms

Unit cell a=9.709 b=9.709 c=9.728 alpha=90.00 beta=90.00 gamma=90.00
Space group I-4 (No. 82)
Asymmetric unit:
Pr  0.070  0.175  0.301 (multiplicity 8)
Pr  0.076  0.322  0.946 (multiplicity 8)
Tl  0.000  0.500  0.250 (multiplicity 2)
Tl  0.125  0.251  0.623 (multiplicity 8)
Pb  0.000  0.000  0.000 (multiplicity 2)